(1)
## Li2ScTi (PBE)

Data for a relaxed Li2ScTi crystal.

Unit cell a=6.690 b=6.690 c=6.690 alpha=90.00 beta=90.00 gamma=90.00
Space group Fm-3m (No. 225)
Asymmetric unit:
Li: 0.250 0.250 0.250 x8
Sc: 0.000 0.000 0.000 x4
Ti: 0.000 0.000 0.500 x4

Calculated values
- density of states at the Fermi level (states/eV per cell) = 12.59
- electronic total energy (eV per cell) = -66.16
- energy above the most stable polymorph in this dataset (meV per atom) = 0.0
- formation energy from the elements (eV per atom) = 0.3784

=====

(2)
## LiScTi (PBE)

Data for a relaxed LiScTi crystal.

Unit cell a=4.602 b=4.998 c=10.050 alpha=90.00 beta=90.00 gamma=90.00
Space group Pnma (No. 62)
Asymmetric unit:
Li: 0.249 0.250 0.175 x4
Sc: 0.248 0.250 0.500 x4
Ti: 0.245 0.250 0.796 x4

Calculated values
- density of states at the Fermi level (states/eV per cell) = 17.74
- electronic total energy (eV per cell) = -61.50
- energy above the most stable polymorph in this dataset (meV per atom) = 174.9
- formation energy from the elements (eV per atom) = 0.2551

=====

(3)
## LiScTi (PBE)

Data for a relaxed LiScTi crystal.

Unit cell a=5.336 b=3.076 c=15.228 alpha=90.00 beta=96.42 gamma=90.00
Space group C2/m (No. 12)
Asymmetric unit:
Li: 0.137 0.000 0.415 x4
Sc: 0.093 0.500 0.768 x4
Ti: 0.189 0.500 0.074 x4

Calculated values
- density of states at the Fermi level (states/eV per cell) = 14.14
- electronic total energy (eV per cell) = -63.38
- energy above the most stable polymorph in this dataset (meV per atom) = 18.1
- formation energy from the elements (eV per atom) = 0.0982

=====

(4)
## LiScTi (PBE)

Data for a relaxed LiScTi crystal.

Unit cell a=3.0783 b=3.0783 c=45.5100 alpha=90.00 beta=90.00 gamma=120.00
Space group R3m (No. 160, hexagonal axes)
Asymmetric unit:
Li: 0.0000 0.0000 0.0000 x3
Li: 0.0000 0.0000 0.3903 x3
Sc: 0.0000 0.0000 0.6058 x3
Sc: 0.0000 0.0000 0.7840 x3
Ti: 0.0000 0.0000 0.2199 x3
Ti: 0.0000 0.0000 0.5035 x3

Calculated values
- density of states at the Fermi level (states/eV per cell) = 27.99
- electronic total energy (eV per cell) = -94.91
- energy above the most stable polymorph in this dataset (meV per atom) = 27.2
- formation energy from the elements (eV per atom) = 0.1073

=====

(5)
## LiScTi (PBE)

Data for a relaxed LiScTi crystal.

Unit cell a=5.321 b=3.072 c=15.362 alpha=90.00 beta=96.65 gamma=90.00
Space group Cm (No. 8)
Asymmetric unit:
Li: 0.000 0.000 0.000 x2
Li: 0.106 0.500 0.829 x2
Sc: 0.382 0.500 0.647 x2
Sc: 0.394 0.000 0.183 x2
Ti: 0.163 0.000 0.489 x2
Ti: 0.281 0.500 0.341 x2

Calculated values
- density of states at the Fermi level (states/eV per cell) = 15.36
- electronic total energy (eV per cell) = -63.26
- energy above the most stable polymorph in this dataset (meV per atom) = 28.1
- formation energy from the elements (eV per atom) = 0.1082

=====

(6)
## Li2ScTi2 (PBE)

Data for a relaxed Li2ScTi2 crystal.

Unit cell a=4.053 b=4.053 c=11.327 alpha=90.00 beta=90.00 gamma=90.00
Space group I4/mmm (No. 139)
Asymmetric unit:
Li: 0.000 0.000 0.093 x4
Sc: 0.000 0.000 0.500 x2
Ti: 0.000 0.500 0.250 x4

Calculated values
- density of states at the Fermi level (states/eV per cell) = 10.26
- electronic total energy (eV per cell) = -47.00
- energy above the most stable polymorph in this dataset (meV per atom) = 70.5
- formation energy from the elements (eV per atom) = 0.4896

=====

Q: formation energy from the elements of number 6 (Li2ScTi2)?
A: 0.4896 eV per atom

=====

Q: Among the records above, which one has the lowest energy above the most stable polymorph in this dataset?
A: Li2ScTi